(one)
{"formula": "Pm6NdHo4", "functional": "PBE", "state": "relaxed", "vol_a3_per_cell": 734.5, "dos_ef_per_ev_cell": 38.741, "magmom_total_mub_per_cell": 0.00, "sg": "Cmcm (63)", "cell": [[2.932, -4.843, 0.000], [2.932, 4.843, 0.000], [0.000, 0.000, 25.862]], "species": ["Pm", "Pm", "Pm", "Pm", "Pm", "Pm", "Pm", "Pm", "Pm", "Pm", "Pm", "Pm", "Nd", "Nd", "Ho", "Ho", "Ho", "Ho", "Ho", "Ho", "Ho", "Ho"], "fractional_positions": [[0.000, 0.000, 0.000], [0.000, 0.000, 0.500], [0.053, 0.947, 0.750], [0.298, 0.702, 0.100], [0.298, 0.702, 0.400], [0.380, 0.620, 0.681], [0.380, 0.620, 0.819], [0.620, 0.380, 0.181], [0.620, 0.380, 0.319], [0.702, 0.298, 0.600], [0.702, 0.298, 0.900], [0.947, 0.053, 0.250], [0.286, 0.714, 0.250], [0.714, 0.286, 0.750], [0.046, 0.954, 0.623], [0.046, 0.954, 0.877], [0.351, 0.649, 0.543], [0.351, 0.649, 0.957], [0.649, 0.351, 0.043], [0.649, 0.351, 0.457], [0.954, 0.046, 0.123], [0.954, 0.046, 0.377]]}

---

(two)
{"formula": "Pm6NdHo4", "functional": "PBE", "state": "relaxed", "vol_a3_per_cell": 388.5, "dos_ef_per_ev_cell": 15.558, "magmom_total_mub_per_cell": 0.00, "sg": "I-42m (121)", "cell": [[-3.782, 3.782, 6.789], [3.782, -3.782, 6.789], [3.782, 3.782, -6.789]], "species": ["Pm", "Pm", "Pm", "Pm", "Pm", "Pm", "Nd", "Ho", "Ho", "Ho", "Ho"], "fractional_positions": [[0.000, 0.500, 0.500], [0.042, 0.583, 0.000], [0.417, 0.417, 0.460], [0.500, 0.000, 0.500], [0.583, 0.042, 0.000], [0.958, 0.958, 0.540], [0.000, 0.000, 0.000], [0.257, 0.257, 0.674], [0.418, 0.743, 0.000], [0.582, 0.582, 0.326], [0.743, 0.418, 0.000]]}

---

Of them, (two) has the lowest stability.

---

(one)
{"formula": "PmNd12Ho6", "functional": "PBE", "state": "relaxed", "vol_a3_per_cell": 652.6, "dos_ef_per_ev_cell": 26.212, "magmom_total_mub_per_cell": 0.00, "sg": "Im-3 (204)", "cell": [[-5.464, 5.464, 5.464], [5.464, -5.464, 5.464], [5.464, 5.464, -5.464]], "species": ["Pm", "Nd", "Nd", "Nd", "Nd", "Nd", "Nd", "Nd", "Nd", "Nd", "Nd", "Nd", "Nd", "Ho", "Ho", "Ho", "Ho", "Ho", "Ho"], "fractional_positions": [[0.000, 0.000, 0.000], [0.067, 0.264, 0.803], [0.197, 0.461, 0.264], [0.197, 0.933, 0.736], [0.264, 0.197, 0.461], [0.264, 0.803, 0.067], [0.461, 0.264, 0.197], [0.539, 0.736, 0.803], [0.736, 0.197, 0.933], [0.736, 0.803, 0.539], [0.803, 0.067, 0.264], [0.803, 0.539, 0.736], [0.933, 0.736, 0.197], [0.143, 0.500, 0.643], [0.357, 0.857, 0.500], [0.500, 0.357, 0.857], [0.500, 0.643, 0.143], [0.643, 0.143, 0.500], [0.857, 0.500, 0.357]]}

---

(two)
{"formula": "PmNd12Ho6", "functional": "PBE", "state": "relaxed", "vol_a3_per_cell": 666.4, "dos_ef_per_ev_cell": 37.243, "magmom_total_mub_per_cell": 0.00, "sg": "R-3m (166)", "cell": [[6.749, 3.897, 4.223], [-6.749, 3.897, 4.223], [0.000, -7.793, 4.223]], "species": ["Pm", "Nd", "Nd", "Nd", "Nd", "Nd", "Nd", "Nd", "Nd", "Nd", "Nd", "Nd", "Nd", "Ho", "Ho", "Ho", "Ho", "Ho", "Ho"], "fractional_positions": [[0.000, 0.000, 0.000], [0.082, 0.353, 0.353], [0.242, 0.500, 0.758], [0.242, 0.758, 0.500], [0.353, 0.082, 0.353], [0.353, 0.353, 0.082], [0.500, 0.242, 0.758], [0.500, 0.758, 0.242], [0.647, 0.647, 0.918], [0.647, 0.918, 0.647], [0.758, 0.242, 0.500], [0.758, 0.500, 0.242], [0.918, 0.647, 0.647], [0.098, 0.098, 0.663], [0.098, 0.663, 0.098], [0.337, 0.902, 0.902], [0.663, 0.098, 0.098], [0.902, 0.337, 0.902], [0.902, 0.902, 0.337]]}

---

Of them, (one) has the lowest stability.